Record 1
Crystalline Be2SiRuPb at its relaxed geometry. Source: Alexandria via LeMat-Bulk, functional PBE.

* calculated volume: 102 Å³/cell
* DOS at the Fermi energy: 5.04 states/eV per cell
* density: 5.74 g cm⁻³
* energy relative to the elements, uncorrected: 1691 meV/atom
* space group: P4/mmm, No. 123

POSCAR file:
```
Be2SiRuPb
1.0
4.361 0.000 0.000
0.000 4.361 0.000
0.000 0.000 5.386
Be Si Ru Pb
2 1 1 1
direct
0.000 0.500 0.000
0.500 0.000 0.000
0.000 0.000 0.500
0.500 0.500 0.500
0.500 0.500 0.000
```

=====

Record 2
Crystalline BeSnRu2Pb at its relaxed geometry. Source: Alexandria via LeMat-Bulk, functional PBE.

* calculated volume: 135 Å³/cell
* ΔH_f (0 K): 1.867 eV per atom
* DOS at the Fermi energy: 5.23 states/eV per cell
* density: 6.58 g cm⁻³
* space group: P4/mmm, No. 123

POSCAR file:
```
BeSnRu2Pb
1.0
4.923 0.000 0.000
0.000 4.923 0.000
0.000 0.000 5.590
Be Sn Ru Pb
1 1 2 1
direct
0.000 0.000 0.000
0.500 0.500 0.500
0.000 0.500 0.500
0.500 0.000 0.500
0.500 0.500 0.000
```

=====

Record 3
Crystalline Be2TeRuPb at its relaxed geometry. Source: Alexandria via LeMat-Bulk, functional PBE.

* calculated volume: 124 Å³/cell
* DOS at the Fermi energy: 6.49 states/eV per cell
* density: 6.10 g cm⁻³
* energy relative to the elements, uncorrected: 1568 meV/atom
* space group: P4/mmm, No. 123

POSCAR file:
```
Be2TeRuPb
1.0
4.412 0.000 0.000
0.000 4.412 0.000
0.000 0.000 6.353
Be Te Ru Pb
2 1 1 1
direct
0.000 0.500 0.000
0.500 0.000 0.000
0.000 0.000 0.500
0.500 0.500 0.500
0.000 0.000 0.000
```

=====

Record 4
Crystalline BeTlRuPb2 at its relaxed geometry. Source: Alexandria via LeMat-Bulk, functional PBE.

* calculated volume: 115 Å³/cell
* ΔH_f (0 K): 0.584 eV per atom
* DOS at the Fermi energy: 3.76 states/eV per cell
* density: 10.52 g cm⁻³
* space group: P4/mmm, No. 123

POSCAR file:
```
BeTlRuPb2
1.0
5.187 0.000 0.000
0.000 5.187 0.000
0.000 0.000 4.279
Be Tl Ru Pb
1 1 1 2
direct
0.000 0.000 0.000
0.500 0.500 0.500
0.000 0.000 0.500
0.000 0.500 0.000
0.500 0.000 0.000
```

=====

Record 5
Crystalline BePbS2 at its relaxed geometry. Source: Alexandria via LeMat-Bulk, functional PBE.

* calculated volume: 165 Å³/cell
* DOS at the Fermi energy: 0.00 states/eV per cell
* density: 5.63 g cm⁻³
* energy relative to the elements, uncorrected: -642 meV/atom
* space group: I-42d, No. 122
* energy above the most stable polymorph in this dataset: 0 meV per atom

POSCAR file:
```
BePbS2
1.0
-3.223 3.223 3.979
3.223 -3.223 3.979
3.223 3.223 -3.979
Be Pb S
2 2 4
direct
0.000 0.000 0.000
0.750 0.250 0.500
0.250 0.750 0.500
0.500 0.500 0.000
0.023 0.625 0.898
0.375 0.273 0.398
0.727 0.125 0.102
0.875 0.977 0.602
```

=====

Record 6
Crystalline BePbS2 at its relaxed geometry. Source: Alexandria via LeMat-Bulk, functional PBE.

* calculated volume: 78 Å³/cell
* DOS at the Fermi energy: 3.53 states/eV per cell
* density: 5.98 g cm⁻³
* energy relative to the elements, uncorrected: -182 meV/atom
* space group: R-3m, No. 166
* energy above the most stable polymorph in this dataset: 460 meV per atom

POSCAR file:
```
BePbS2
1.0
1.687 0.974 7.896
-1.687 0.974 7.896
0.000 -1.948 7.896
Be Pb S
1 1 2
direct
0.000 0.000 0.000
0.500 0.500 0.500
0.383 0.383 0.383
0.617 0.617 0.617
```

=====

Record 7
Crystalline BePbS2 at its relaxed geometry. Source: Alexandria via LeMat-Bulk, functional PBE.

* calculated volume: 117 Å³/cell
* DOS at the Fermi energy: 0.00 states/eV per cell
* density: 3.99 g cm⁻³
* energy relative to the elements, uncorrected: -484 meV/atom
* space group: R-3m, No. 166
* energy above the most stable polymorph in this dataset: 157 meV per atom

POSCAR file:
```
BePbS2
1.0
2.244 1.295 6.690
-2.244 1.295 6.690
0.000 -2.591 6.690
Be Pb S
1 1 2
direct
0.000 0.000 0.000
0.500 0.500 0.500
0.093 0.093 0.093
0.907 0.907 0.907
```

=====

Record 8
Crystalline BePbS3 at its relaxed geometry. Source: Alexandria via LeMat-Bulk, functional PBE.

* calculated volume: 91 Å³/cell
* DOS at the Fermi energy: 3.27 states/eV per cell
* density: 5.67 g cm⁻³
* energy relative to the elements, uncorrected: -48 meV/atom
* space group: Pm-3m, No. 221
* energy above the most stable polymorph in this dataset: 0 meV per atom

POSCAR file:
```
BePbS3
1.0
4.505 0.000 0.000
0.000 4.505 0.000
0.000 0.000 4.505
Be Pb S
1 1 3
direct
0.000 0.000 0.000
0.500 0.500 0.500
0.000 0.000 0.500
0.000 0.500 0.000
0.500 0.000 0.000
```

=====

Record 9
Crystalline BePbS2 at its relaxed geometry. Source: Alexandria via LeMat-Bulk, functional PBE.

* calculated volume: 77 Å³/cell
* DOS at the Fermi energy: 0.72 states/eV per cell
* density: 6.04 g cm⁻³
* energy relative to the elements, uncorrected: 307 meV/atom
* space group: Fm-3m, No. 225
* energy above the most stable polymorph in this dataset: 948 meV per atom

POSCAR file:
```
BePbS2
1.0
0.000 3.378 3.378
3.378 0.000 3.378
3.378 3.378 0.000
Be Pb S
1 1 2
direct
0.000 0.000 0.000
0.500 0.500 0.500
0.250 0.250 0.250
0.750 0.750 0.750
```

=====

Record 10
Crystalline Be2PbS2 at its relaxed geometry. Source: Alexandria via LeMat-Bulk, functional PBE.

* calculated volume: 83 Å³/cell
* DOS at the Fermi energy: 1.51 states/eV per cell
* density: 5.77 g cm⁻³
* energy relative to the elements, uncorrected: -8 meV/atom
* space group: I4/mmm, No. 139
* energy above the most stable polymorph in this dataset: 0 meV per atom

POSCAR file:
```
Be2PbS2
1.0
-2.211 2.211 4.259
2.211 -2.211 4.259
2.211 2.211 -4.259
Be Pb S
2 1 2
direct
0.150 0.150 0.000
0.850 0.850 0.000
0.500 0.500 0.000
0.250 0.750 0.500
0.750 0.250 0.500
```

=====

Q: The lowest density belongs to which entry?
A: number 7

=====

Q: Among the records above, which one has the highest density?
A: BeTlRuPb2